# 1
Sc7Hg (GGA-PBEsol, relaxed); energy = -47.38 eV/cell
1.0
0.000 4.489 4.489
4.489 0.000 4.489
4.489 4.489 0.000
Sc Hg
7 1
Direct
0.000 0.000 0.000
0.000 0.000 0.500
0.000 0.500 0.000
0.000 0.500 0.500
0.500 0.000 0.000
0.500 0.000 0.500
0.500 0.500 0.000
0.500 0.500 0.500


# 2
Cd3Ag2 (GGA-PBEsol, relaxed); energy = -20.80 eV/cell; offset from the most stable computed form = 19.8 meV/atom
1.0
0.000 6.969 2.695
4.933 0.000 2.695
4.933 6.969 0.000
Cd Ag
6 4
Direct
0.000 0.000 0.000
0.250 0.250 0.250
0.371 0.665 0.427
0.665 0.371 0.537
0.713 0.823 0.585
0.823 0.713 0.879
0.134 0.483 0.963
0.287 0.830 0.116
0.483 0.134 0.420
0.830 0.287 0.767


# 3
Ag2Au (GGA-PBEsol, relaxed); energy = -9.94 eV/cell; offset from the most stable computed form = 252.7 meV/atom
1.0
4.691 0.000 0.000
0.000 4.691 0.000
0.000 0.000 2.814
Ag Au
2 1
Direct
0.000 0.500 0.000
0.500 0.000 0.000
0.000 0.000 0.500


The calculation returns the following total magnetic moment values, one per record and in order: 0.000; 0.000; 0.000 μB per atom.
The calculation returns the following DFT formation energy values, one per record and in order: -0.07; -0.04; 0.20 eV per atom.